# Sn2Bi2Pd7, optimized geometry, DFT PBE
data_Sn2Bi2Pd7
_space_group_name_H-M_alt 'C 1 2/m 1'
_space_group_IT_number 12
_cell_length_a 8.869
_cell_length_b 9.578
_cell_length_c 5.429
_cell_angle_alpha 90.00
_cell_angle_beta 114.56
_cell_angle_gamma 90.00
loop_
_space_group_symop_operation_xyz
'x,y,z'
'-x,-y,-z'
'-x,y,-z'
'x,-y,z'
'x+1/2,y+1/2,z'
'-x+1/2,-y+1/2,-z'
'-x+1/2,y+1/2,-z'
'x+1/2,-y+1/2,z'
loop_
_atom_site_label
_atom_site_type_symbol
_atom_site_fract_x
_atom_site_fract_y
_atom_site_fract_z
Sn1 Sn 0.167 0.000 0.439
Bi1 Bi 0.000 0.320 0.000
Pd1 Pd 0.000 0.500 0.500
Pd2 Pd 0.159 0.000 0.945
Pd3 Pd 0.174 0.255 0.685
# V: 19.064 Å³ per atom
# Energy of formation from the pure elements: -0.337 eV/atom
# Calculated total energy: -5.0752 eV per atom